Record 1
DFT (PBE) results for a relaxed structure of Ce2ZnS.

The structure in CIF format:
```
data_Ce2ZnS
_symmetry_space_group_name_H-M 'R -3 m'
_symmetry_Int_Tables_number 166
_symmetry_space_group_name_Hall '-R 3 2"'
_cell_length_a 4.0293
_cell_length_b 4.0293
_cell_length_c 21.8176
_cell_angle_alpha 90.00
_cell_angle_beta 90.00
_cell_angle_gamma 120.00
loop_
_atom_site_label
_atom_site_fract_x
_atom_site_fract_y
_atom_site_fract_z
Ce1 0.0000 0.0000 0.2403
Zn1 0.0000 0.0000 0.0000
S1 0.0000 0.0000 0.5000
```

***

Record 2
DFT (PBE) results for a relaxed structure of Ce6ZnS12.

The structure in CIF format:
```
data_Ce6ZnS12
_symmetry_space_group_name_H-M 'R -3'
_symmetry_Int_Tables_number 148
_symmetry_space_group_name_Hall '-R 3'
_cell_length_a 12.1153
_cell_length_b 12.1153
_cell_length_c 11.1007
_cell_angle_alpha 90.00
_cell_angle_beta 90.00
_cell_angle_gamma 120.00
loop_
_atom_site_label
_atom_site_fract_x
_atom_site_fract_y
_atom_site_fract_z
Ce1 0.0548 0.7843 0.1530
Zn1 0.0000 0.0000 0.5000
S1 0.0365 0.8159 0.8976
S2 0.0469 0.8430 0.3917
```

***

| no. | calculated total energy (eV per atom) | formation energy without anion corrections (kJ/mol of formula units) | DOS at the Fermi energy (states/eV/f.u.) |
| --- | --- | --- | --- |
| 1 | -5.26 | -365 | 11.6 |
| 2 | -6.25 | -3126 | 24.6 |